# Li2YAgHg4 | Alexandria | GGA-PBE | relaxed
# Symmetry: No. 166
# Total magnetic moment: 0.0 μB/f.u.
# DOS(E_F): 4.13 states/eV per cell
# DFT formation energy: -0.292 eV per atom
data_Li2YAgHg4
_chemical_formula_sum 'Li2 Y1 Ag1 Hg4'
_symmetry_space_group_name_H-M 'P 1'
_symmetry_Int_Tables_number 1
_cell_length_a 4.740
_cell_length_b 4.740
_cell_length_c 9.206
_cell_angle_alpha 75.08
_cell_angle_beta 75.08
_cell_angle_gamma 60.00
loop_
_symmetry_equiv_pos_as_xyz
'x,y,z'
loop_
_atom_site_label
_atom_site_type_symbol
_atom_site_fract_x
_atom_site_fract_y
_atom_site_fract_z
Li1 Li 0.765 0.765 0.705
Li2 Li 0.235 0.235 0.295
Hg1 Hg 0.878 0.878 0.366
Hg2 Hg 0.388 0.388 0.835
Hg3 Hg 0.612 0.612 0.165
Hg4 Hg 0.122 0.122 0.634
Y1 Y 0.000 0.000 0.000
Ag1 Ag 0.500 0.500 0.500

# Nb3CoHg | Alexandria | GGA-PBE | relaxed
# Symmetry: No. 221
# Total magnetic moment: 0.0 μB/f.u.
# E above lowest polymorph: 0.000 eV per atom
# DOS(E_F): 8.01 states/eV per cell
# DFT formation energy: 0.611 eV per atom
data_Nb3CoHg
_chemical_formula_sum 'Nb3 Co1 Hg1'
_symmetry_space_group_name_H-M 'P 1'
_symmetry_Int_Tables_number 1
_cell_length_a 4.619
_cell_length_b 4.619
_cell_length_c 4.619
_cell_angle_alpha 90.00
_cell_angle_beta 90.00
_cell_angle_gamma 90.00
loop_
_symmetry_equiv_pos_as_xyz
'x,y,z'
loop_
_atom_site_label
_atom_site_type_symbol
_atom_site_fract_x
_atom_site_fract_y
_atom_site_fract_z
Nb1 Nb 0.500 0.000 0.000
Nb2 Nb 0.000 0.500 0.000
Nb3 Nb 0.000 0.000 0.500
Hg1 Hg 0.500 0.500 0.500
Co1 Co 0.000 0.000 0.000

# HoLuBeCd | Alexandria | GGA-PBE | relaxed
# Symmetry: No. 216
# Total magnetic moment: 0.0 μB/f.u.
# DOS(E_F): 3.12 states/eV per cell
# DFT formation energy: -0.048 eV per atom
data_HoLuBeCd
_chemical_formula_sum 'Ho1 Lu1 Be1 Cd1'
_symmetry_space_group_name_H-M 'P 1'
_symmetry_Int_Tables_number 1
_cell_length_a 5.028
_cell_length_b 5.028
_cell_length_c 5.028
_cell_angle_alpha 60.00
_cell_angle_beta 60.00
_cell_angle_gamma 60.00
loop_
_symmetry_equiv_pos_as_xyz
'x,y,z'
loop_
_atom_site_label
_atom_site_type_symbol
_atom_site_fract_x
_atom_site_fract_y
_atom_site_fract_z
Ho1 Ho 0.750 0.750 0.750
Be1 Be 0.000 0.000 0.000
Cd1 Cd 0.500 0.500 0.500
Lu1 Lu 0.250 0.250 0.250

# SrPbSe2 | Alexandria | GGA-PBE | relaxed
# Formation energy without anion corrections: -1.245 eV/atom
# Symmetry: No. 164
# Total magnetic moment: 0.0 μB/f.u.
# DOS(E_F): 0.00 states/eV per cell
data_SrPbSe2
_chemical_formula_sum 'Sr1 Pb1 Se2'
_symmetry_space_group_name_H-M 'P 1'
_symmetry_Int_Tables_number 1
_cell_length_a 4.370
_cell_length_b 4.370
_cell_length_c 7.526
_cell_angle_alpha 90.00
_cell_angle_beta 90.00
_cell_angle_gamma 120.02
loop_
_symmetry_equiv_pos_as_xyz
'x,y,z'
loop_
_atom_site_label
_atom_site_type_symbol
_atom_site_fract_x
_atom_site_fract_y
_atom_site_fract_z
Pb1 Pb 0.000 0.500 0.000
Se1 Se 0.667 0.833 0.750
Se2 Se 0.333 0.167 0.250
Sr1 Sr 0.000 0.500 0.500

# S6ClO | Alexandria | GGA-PBE | relaxed
# Formation energy without anion corrections: 0.345 eV/atom
# Symmetry: No. 12
# Total magnetic moment: 0.0 μB/f.u.
# DOS(E_F): 5.48 states/eV per cell
data_S6ClO
_chemical_formula_sum 'S6 Cl1 O1'
_symmetry_space_group_name_H-M 'P 1'
_symmetry_Int_Tables_number 1
_cell_length_a 7.324
_cell_length_b 7.324
_cell_length_c 11.964
_cell_angle_alpha 44.97
_cell_angle_beta 44.97
_cell_angle_gamma 23.88
loop_
_symmetry_equiv_pos_as_xyz
'x,y,z'
loop_
_atom_site_label
_atom_site_type_symbol
_atom_site_fract_x
_atom_site_fract_y
_atom_site_fract_z
S1 S 0.201 0.201 0.088
S2 S 0.395 0.395 0.184
S3 S 0.236 0.236 0.640
S4 S 0.764 0.764 0.360
S5 S 0.799 0.799 0.912
S6 S 0.605 0.605 0.816
O1 O 0.000 0.000 0.000
Cl1 Cl 0.000 0.000 0.500

# Si4Te5 | Alexandria | GGA-PBE | relaxed
# Formation energy without anion corrections: 0.494 eV/atom
# Symmetry: No. 139
# Total magnetic moment: 0.0 μB/f.u.
# DOS(E_F): 6.44 states/eV per cell
data_Si4Te5
_chemical_formula_sum 'Si4 Te5'
_symmetry_space_group_name_H-M 'P 1'
_symmetry_Int_Tables_number 1
_cell_length_a 7.876
_cell_length_b 7.876
_cell_length_c 7.876
_cell_angle_alpha 93.25
_cell_angle_beta 93.25
_cell_angle_gamma 152.45
loop_
_symmetry_equiv_pos_as_xyz
'x,y,z'
loop_
_atom_site_label
_atom_site_type_symbol
_atom_site_fract_x
_atom_site_fract_y
_atom_site_fract_z
Te1 Te 0.324 0.324 0.649
Te2 Te 0.324 0.676 0.000
Te3 Te 0.676 0.324 0.000
Te4 Te 0.000 0.000 0.000
Te5 Te 0.676 0.676 0.351
Si1 Si 0.000 0.378 0.378
Si2 Si 0.378 0.000 0.378
Si3 Si 0.000 0.622 0.622
Si4 Si 0.622 0.000 0.622

# ZrCl3 | Alexandria | GGA-PBE | relaxed
# Formation energy without anion corrections: -1.104 eV/atom
# Symmetry: No. 187
# Total magnetic moment: 0.7 μB/f.u.
# DOS(E_F): 2.82 states/eV per cell
data_ZrCl3
_chemical_formula_sum 'Zr1 Cl3'
_symmetry_space_group_name_H-M 'P 1'
_symmetry_Int_Tables_number 1
_cell_length_a 3.425
_cell_length_b 3.425
_cell_length_c 9.376
_cell_angle_alpha 90.00
_cell_angle_beta 90.00
_cell_angle_gamma 120.00
loop_
_symmetry_equiv_pos_as_xyz
'x,y,z'
loop_
_atom_site_label
_atom_site_type_symbol
_atom_site_fract_x
_atom_site_fract_y
_atom_site_fract_z
Cl1 Cl 0.667 0.333 0.250
Cl2 Cl 0.000 0.000 0.929
Cl3 Cl 0.000 0.000 0.571
Zr1 Zr 0.667 0.333 0.750

# TmZrAlNi | Alexandria | GGA-PBE | relaxed
# Symmetry: No. 216
# Total magnetic moment: 0.9 μB/f.u.
# DOS(E_F): 5.06 states/eV per cell
# DFT formation energy: -0.263 eV per atom
data_TmZrAlNi
_chemical_formula_sum 'Tm1 Zr1 Al1 Ni1'
_symmetry_space_group_name_H-M 'P 1'
_symmetry_Int_Tables_number 1
_cell_length_a 4.794
_cell_length_b 4.794
_cell_length_c 4.794
_cell_angle_alpha 60.00
_cell_angle_beta 60.00
_cell_angle_gamma 60.00
loop_
_symmetry_equiv_pos_as_xyz
'x,y,z'
loop_
_atom_site_label
_atom_site_type_symbol
_atom_site_fract_x
_atom_site_fract_y
_atom_site_fract_z
Tm1 Tm 0.750 0.750 0.750
Ni1 Ni 0.500 0.500 0.500
Zr1 Zr 0.250 0.250 0.250
Al1 Al 0.000 0.000 0.000

# PrLuAl2 | Alexandria | GGA-PBE | relaxed
# Symmetry: No. 123
# Total magnetic moment: 0.0 μB/f.u.
# E above lowest polymorph: 0.000 eV per atom
# DOS(E_F): 1.92 states/eV per cell
# DFT formation energy: -0.365 eV per atom
data_PrLuAl2
_chemical_formula_sum 'Pr1 Lu1 Al2'
_symmetry_space_group_name_H-M 'P 1'
_symmetry_Int_Tables_number 1
_cell_length_a 3.645
_cell_length_b 3.645
_cell_length_c 7.263
_cell_angle_alpha 90.00
_cell_angle_beta 90.00
_cell_angle_gamma 90.00
loop_
_symmetry_equiv_pos_as_xyz
'x,y,z'
loop_
_atom_site_label
_atom_site_type_symbol
_atom_site_fract_x
_atom_site_fract_y
_atom_site_fract_z
Lu1 Lu 0.500 0.500 0.000
Pr1 Pr 0.500 0.500 0.500
Al1 Al 0.000 0.000 0.224
Al2 Al 0.000 0.000 0.776

# LiHoLuTc | Alexandria | GGA-PBE | relaxed
# Symmetry: No. 216
# Total magnetic moment: 0.0 μB/f.u.
# DOS(E_F): 3.94 states/eV per cell
# DFT formation energy: -0.068 eV per atom
data_LiHoLuTc
_chemical_formula_sum 'Li1 Ho1 Lu1 Tc1'
_symmetry_space_group_name_H-M 'P 1'
_symmetry_Int_Tables_number 1
_cell_length_a 4.874
_cell_length_b 4.874
_cell_length_c 4.874
_cell_angle_alpha 60.00
_cell_angle_beta 60.00
_cell_angle_gamma 60.00
loop_
_symmetry_equiv_pos_as_xyz
'x,y,z'
loop_
_atom_site_label
_atom_site_type_symbol
_atom_site_fract_x
_atom_site_fract_y
_atom_site_fract_z
Lu1 Lu 0.250 0.250 0.250
Li1 Li 0.000 0.000 0.000
Ho1 Ho 0.750 0.750 0.750
Tc1 Tc 0.500 0.500 0.500

# DyY3Pd12 | Alexandria | GGA-PBE | relaxed
# Symmetry: No. 123
# Total magnetic moment: 0.0 μB/f.u.
# DOS(E_F): 11.59 states/eV per cell
# DFT formation energy: -0.853 eV per atom
data_DyY3Pd12
_chemical_formula_sum 'Dy1 Y3 Pd12'
_symmetry_space_group_name_H-M 'P 1'
_symmetry_Int_Tables_number 1
_cell_length_a 4.124
_cell_length_b 4.124
_cell_length_c 16.588
_cell_angle_alpha 90.00
_cell_angle_beta 90.00
_cell_angle_gamma 90.00
loop_
_symmetry_equiv_pos_as_xyz
'x,y,z'
loop_
_atom_site_label
_atom_site_type_symbol
_atom_site_fract_x
_atom_site_fract_y
_atom_site_fract_z
Pd1 Pd 0.000 0.500 0.876
Pd2 Pd 0.000 0.500 0.625
Pd3 Pd 0.500 0.000 0.375
Pd4 Pd 0.500 0.500 0.000
Pd5 Pd 0.000 0.500 0.124
Pd6 Pd 0.500 0.500 0.500
Pd7 Pd 0.500 0.500 0.250
Pd8 Pd 0.500 0.000 0.876
Pd9 Pd 0.500 0.000 0.625
Pd10 Pd 0.500 0.500 0.750
Pd11 Pd 0.000 0.500 0.375
Pd12 Pd 0.500 0.000 0.124
Dy1 Dy 0.000 0.000 0.000
Y1 Y 0.000 0.000 0.500
Y2 Y 0.000 0.000 0.249
Y3 Y 0.000 0.000 0.751

# BaSrPm4 | Alexandria | GGA-PBE | relaxed
# Symmetry: No. 216
# Total magnetic moment: 0.0 μB/f.u.
# DOS(E_F): 12.18 states/eV per cell
# DFT formation energy: 0.232 eV per atom
data_BaSrPm4
_chemical_formula_sum 'Ba1 Sr1 Pm4'
_symmetry_space_group_name_H-M 'P 1'
_symmetry_Int_Tables_number 1
_cell_length_a 7.124
_cell_length_b 7.124
_cell_length_c 7.124
_cell_angle_alpha 60.00
_cell_angle_beta 60.00
_cell_angle_gamma 60.00
loop_
_symmetry_equiv_pos_as_xyz
'x,y,z'
loop_
_atom_site_label
_atom_site_type_symbol
_atom_site_fract_x
_atom_site_fract_y
_atom_site_fract_z
Ba1 Ba 0.250 0.250 0.250
Pm1 Pm 0.626 0.626 0.626
Pm2 Pm 0.626 0.121 0.626
Pm3 Pm 0.626 0.626 0.121
Pm4 Pm 0.121 0.626 0.626
Sr1 Sr 0.000 0.000 0.000